Computed, not measured: crystalline ZrB at its relaxed geometry at the PBE-GGA level of DFT.

Unit cell a=7.025 b=7.025 c=4.938 alpha=90.00 beta=90.00 gamma=120.00
Atoms (fractional coordinates):
Zr  0.043  0.682  0.250
Zr  0.318  0.361  0.250
Zr  0.361  0.043  0.750
Zr  0.639  0.957  0.250
Zr  0.682  0.639  0.750
Zr  0.957  0.318  0.750
B  0.032  0.685  0.750
B  0.315  0.347  0.750
B  0.347  0.032  0.250
B  0.653  0.968  0.750
B  0.685  0.653  0.250
B  0.968  0.315  0.250

E: -89.370 eV per cell
SG: P6_3/m, No. 176
Formation enthalpy at 0 K: 0.17 eV/atom
V: 17.59 Å³/atom

***

Computed, not measured: crystalline InPd3W at its relaxed geometry at the PBE-GGA level of DFT.

Unit cell a=4.869 b=4.869 c=4.869 alpha=90.00 beta=90.00 gamma=90.00
Atoms (fractional coordinates):
In  0.000  0.000  0.000
Pd  0.000  0.500  0.500
Pd  0.500  0.000  0.500
Pd  0.500  0.500  0.000
W  0.500  0.500  0.500

E: -26.457 eV per cell
Distance to the lowest polymorph of the same formula: 0 meV/atom
SG: Pm-3m, No. 221
Formation enthalpy at 0 K: 0.96 eV/atom
V: 23.09 Å³/atom

***

Computed, not measured: crystalline Sb4Pt5 at its relaxed geometry at the PBE-GGA level of DFT.

Unit cell a=7.023 b=7.023 c=7.023 alpha=94.65 beta=94.65 gamma=146.93
Atoms (fractional coordinates):
Sb  0.000  0.288  0.288
Sb  0.000  0.712  0.712
Sb  0.288  0.000  0.288
Sb  0.712  0.000  0.712
Pt  0.000  0.000  0.000
Pt  0.326  0.326  0.652
Pt  0.326  0.674  0.000
Pt  0.674  0.326  0.000
Pt  0.674  0.674  0.348

E: -48.071 eV per cell
SG: I4/mmm, No. 139
V: 20.13 Å³/atom

***

Computed, not measured: crystalline BaZn2RhBr at its relaxed geometry at the PBE-GGA level of DFT.

Unit cell a=4.835 b=4.835 c=5.583 alpha=90.00 beta=90.00 gamma=90.00
Atoms (fractional coordinates):
Ba  0.000  0.000  0.000
Zn  0.000  0.500  0.500
Zn  0.500  0.000  0.500
Rh  0.500  0.500  0.500
Br  0.500  0.500  0.000

E: -15.843 eV per cell
SG: P4/mmm, No. 123
V: 26.11 Å³/atom

***

Computed, not measured: crystalline K3Ac2PrSe6 at its relaxed geometry at the PBE-GGA level of DFT.

Unit cell a=10.355 b=10.355 c=9.324 alpha=105.36 beta=105.36 gamma=25.19
Atoms (fractional coordinates):
K  0.000  0.000  0.000
K  0.334  0.334  0.667
K  0.666  0.666  0.333
Ac  0.335  0.335  0.170
Ac  0.665  0.665  0.830
Pr  0.000  0.000  0.500
Se  0.156  0.156  0.595
Se  0.173  0.173  0.066
Se  0.495  0.495  0.278
Se  0.505  0.505  0.722
Se  0.827  0.827  0.934
Se  0.844  0.844  0.405

E: -58.681 eV per cell
SG: C2/m, No. 12
V: 34.12 Å³/atom

***

Computed, not measured: crystalline CrPAu2 at its relaxed geometry at the PBE-GGA level of DFT.

Unit cell a=3.846 b=3.846 c=4.552 alpha=90.00 beta=90.00 gamma=90.00
Atoms (fractional coordinates):
Cr  0.000  0.000  0.000
P  0.500  0.500  0.000
Au  0.000  0.500  0.500
Au  0.500  0.000  0.500

E: -20.645 eV per cell
SG: P4/mmm, No. 123
Formation enthalpy at 0 K: 0.24 eV/atom
V: 16.83 Å³/atom

***

Computed, not measured: crystalline Ac3TlRhAu at its relaxed geometry at the PBE-GGA level of DFT.

Unit cell a=8.187 b=4.385 c=11.225 alpha=90.00 beta=94.88 gamma=90.00
Atoms (fractional coordinates):
Ac  0.096  0.250  0.368
Ac  0.187  0.250  0.904
Ac  0.400  0.750  0.640
Ac  0.600  0.250  0.360
Ac  0.813  0.750  0.096
Ac  0.904  0.750  0.632
Tl  0.285  0.750  0.165
Tl  0.715  0.250  0.835
Rh  0.157  0.250  0.635
Rh  0.843  0.750  0.365
Au  0.471  0.750  0.914
Au  0.529  0.250  0.086

E: -57.237 eV per cell
SG: P2_1/m, No. 11
Formation enthalpy at 0 K: -0.55 eV/atom
V: 33.47 Å³/atom

***

Computed, not measured: crystalline Na4La3TiO8 at its relaxed geometry at the PBE-GGA level of DFT.

Unit cell a=6.933 b=6.933 c=6.944 alpha=118.75 beta=118.75 gamma=61.19
Atoms (fractional coordinates):
Na  0.000  0.000  0.000
Na  0.000  0.500  0.500
Na  0.500  0.000  0.500
Na  0.500  0.500  0.000
La  0.000  0.000  0.500
La  0.000  0.500  0.000
La  0.500  0.000  0.000
Ti  0.500  0.500  0.500
O  0.242  0.242  0.760
O  0.255  0.729  0.266
O  0.271  0.745  0.734
O  0.295  0.295  0.285
O  0.705  0.705  0.715
O  0.729  0.255  0.266
O  0.745  0.271  0.734
O  0.758  0.758  0.240

E: -107.646 eV per cell
SG: C2/m, No. 12
V: 15.16 Å³/atom

***

Question: What is the V in the seventh record?
Answer: 33.47 Å³/atom

***

Question: Among the records above, which one has the highest E?
Answer: BaZn2RhBr

***

Question: Among the records above, which one has the lowest V?
Answer: Na4La3TiO8